A geometry-optimized KCeNpS4 structure, computed with PBE.

```
KCeNpS4
1.0
-4.230 -7.057 2.356
8.283 -0.345 -1.708
-2.611 3.871 6.908
S K Ce Np
8 2 2 2
direct
0.273 0.546 0.737
0.723 0.034 0.267
0.277 0.966 0.733
0.727 0.454 0.263
0.311 0.034 0.267
0.273 0.546 0.308
0.727 0.454 0.692
0.689 0.966 0.733
0.121 0.243 0.871
0.879 0.757 0.129
0.500 0.500 0.500
0.000 0.500 0.500
0.500 0.000 0.000
0.500 0.000 0.500
```

Calculated values
As for the space-group type: Imma. The value obtained for the formation energy (no corrections) is -1.567 eV per atom. The electronic total energy comes out at -6.778 eV per atom. For the density of states at the Fermi level, the calculation gives 26.4 states/eV per cell. The calculation puts the mass density at 4.23 g/cm3.